Record 1
Material: Tl2IF
Method: DFT, PBE-GGA
State: relaxed

Properties
For the electronic total energy, the calculation gives -3.18 eV per atom. As for the theoretical density: 7.21 g/cm3. The formation energy (no corrections) comes out at -1.14 eV/atom. The calculation puts the volume at 31.95 Å³ per atom. The value obtained for the polymorph energy (0 for the lowest one) is 0.0696 eV per atom.

```
Tl2IF
1.0
-0.5578 -0.7486 -4.2892
-1.5097 -3.8870 -1.3715
-7.8704 1.0759 -1.4105
I Tl F
1 2 1
Direct
0.4995 0.4995 0.5016 I
0.0622 0.0622 0.8133 Tl
0.2702 0.2702 0.1895 Tl
0.6681 0.6681 0.9957 F
```

Record 2
Material: AlInSnPb
Method: DFT, PBE-GGA
State: relaxed

Properties
For the electronic total energy, the calculation gives -3.34 eV per atom. As for the theoretical density: 7.41 g/cm3. The calculation puts the volume at 26.19 Å³ per atom.

```
AlInSnPb
1.0
-1.5891 -3.3865 3.7425
-2.7917 -4.2939 -1.3300
2.2055 -4.7982 0.3354
Pb Al In Sn
1 1 1 1
Direct
0.7500 0.7500 0.7500 Pb
0.5000 0.5000 0.5000 Al
0.0000 0.0000 0.0000 In
0.2500 0.2500 0.2500 Sn
```

Record 3
Material: BaLaO2
Method: DFT, PBE-GGA
State: relaxed

Properties
For the electronic total energy, the calculation gives -6.78 eV per atom. As for the theoretical density: 6.36 g/cm3. The formation energy (no corrections) comes out at -2.58 eV/atom. The calculation puts the volume at 20.12 Å³ per atom. The value obtained for the polymorph energy (0 for the lowest one) is 0.0046 eV per atom.

```
BaLaO2
1.0
-2.9522 0.8601 -2.1189
-2.4960 -2.6338 -0.8821
-5.3138 0.8900 4.4741
La O Ba
1 2 1
Direct
0.6687 0.6687 0.9939 La
0.2718 0.2718 0.1845 O
0.0654 0.0654 0.8037 O
0.4940 0.4940 0.5180 Ba
```

Record 4
Material: LaZrPCl2
Method: DFT, PBE-GGA
State: relaxed

Properties
For the electronic total energy, the calculation gives -4.86 eV per atom. As for the theoretical density: 3.31 g/cm3. The formation energy (no corrections) comes out at -0.35 eV/atom. The calculation puts the volume at 33.32 Å³ per atom. The value obtained for the polymorph energy (0 for the lowest one) is 0.7464 eV per atom.

```
LaZrPCl2
1.0
5.3124 0.0000 0.0000
0.0000 5.3124 0.0000
0.0000 0.0000 5.9034
P La Cl Zr
1 1 2 1
Direct
0.0000 0.0000 0.5000 P
0.0000 0.0000 0.0000 La
0.5000 0.0000 0.0000 Cl
0.0000 0.5000 0.0000 Cl
0.5000 0.5000 0.5000 Zr
```

Record 5
Material: Pr8GaPb2
Method: DFT, PBE-GGA
State: relaxed

Properties
For the electronic total energy, the calculation gives -4.72 eV per atom. As for the theoretical density: 7.43 g/cm3. The calculation puts the volume at 32.76 Å³ per atom.

```
Pr8GaPb2
1.0
5.3468 0.0000 0.0000
0.0000 7.0261 0.1101
-2.6734 -2.8285 9.5480
Pr Pb Ga
8 2 1
Direct
0.9897 0.2258 0.9794 Pr
0.6533 0.9996 0.3066 Pr
0.0103 0.7742 0.0206 Pr
0.3467 0.0004 0.6934 Pr
0.7857 0.6802 0.5715 Pr
0.4104 0.5299 0.8209 Pr
0.5896 0.4701 0.1791 Pr
0.2143 0.3198 0.4285 Pr
0.1765 0.7520 0.3530 Pb
0.8235 0.2480 0.6470 Pb
0.5000 0.0000 0.0000 Ga
```